Record 1
Entry from the Alexandria database: a relaxed SrAc4PrSe8 crystal (GGA-PBE).

## Properties
N(E_F)   4.16 states/eV/cell
SG   R3m, No. 160
Calculated density   5.5 g cm⁻³
Formation energy (no corrections)   -1.868 eV per atom

a = 9.1580 Å, b = 9.1580 Å, c = 9.0349 Å
α = 59.55°, β = 59.55°, γ = 60.00°
Last column: nearest neighbours and their distance in Å.
Element x y z (fractional)
1 Se 0.7582 0.7582 0.7255  4 Ac 2.97-3.14
2 Pr 0.0021 0.0021 0.9937  6 Se 3.01-3.07
3 Sr 0.3766 0.3766 0.8703  4 Se 2.97-3.01
4 Se 0.2412 0.2412 0.2763  1 Sr 2.97, 3 Ac 3.09
5 Ac 0.0017 0.4952 0.5014  6 Se 3.09-3.15
6 Se 0.2359 0.7795 0.7486  1 Pr 3.01, 1 Sr 3.01, 2 Ac 3.10
7 Se 0.7795 0.2359 0.7486  1 Pr 3.01, 1 Sr 3.01, 2 Ac 3.10
8 Ac 0.4952 0.0017 0.5014  6 Se 3.09-3.15
9 Se 0.2211 0.7639 0.2510  3 Ac 3.00-3.15, 1 Pr 3.07
10 Se 0.7639 0.2211 0.2510  3 Ac 3.00-3.15, 1 Pr 3.07
11 Se 0.7639 0.7639 0.2510  3 Ac 3.00-3.15, 1 Pr 3.07
12 Ac 0.0017 0.0017 0.5014  6 Se 3.09-3.15
13 Ac 0.6230 0.6230 0.1312  4 Se 2.97-3.00
14 Se 0.2359 0.2359 0.7486  1 Pr 3.01, 1 Sr 3.01, 2 Ac 3.10

Record 2
Entry from the Alexandria database: a relaxed MnNi2As crystal (GGA-PBE).

## Properties
N(E_F)   4.74 states/eV/cell
SG   I-42d, No. 122
Calculated density   7.6 g cm⁻³
ΔH_f (0 K)   0.08 eV/atom

a = 3.5970 Å, b = 3.5970 Å, c = 8.7545 Å
α = 78.14°, β = 78.14°, γ = 90.00°
Last column: nearest neighbours and their distance in Å.
Element x y z (fractional)
1 Ni 0.8750 0.8841 0.7500  2 As 2.44, 2 Mn 2.46, 4 Ni 2.50-2.59
2 Mn 0.2500 0.7500 0.5000  4 Ni 2.46, 4 As 2.54
3 As 0.7500 0.2500 0.5000  4 Ni 2.44, 4 Mn 2.54
4 Ni 0.3750 0.3659 0.7500  2 As 2.44, 2 Mn 2.46, 4 Ni 2.50-2.59
5 Ni 0.1159 0.6250 0.2500  2 As 2.44, 2 Mn 2.46, 4 Ni 2.50-2.59
6 Mn 0.5000 0.5000 0.0000  4 Ni 2.46, 4 As 2.54
7 As 0.0000 0.0000 0.0000  4 Ni 2.44, 4 Mn 2.54
8 Ni 0.6341 0.1250 0.2500  2 As 2.44, 2 Mn 2.46, 4 Ni 2.50-2.59

Record 3
Entry from the Alexandria database: a relaxed HoMgMn crystal (GGA-PBE).

## Properties
N(E_F)   6.63 states/eV/cell
SG   C2/m, No. 12
Calculated density   6.3 g cm⁻³
ΔH_f (0 K)   0.08 eV/atom

a = 3.4742 Å, b = 5.4463 Å, c = 7.2594 Å
α = 103.15°, β = 103.84°, γ = 90.00°
Last column: nearest neighbours and their distance in Å.
Element x y z (fractional)
1 Mg 0.4252 0.2025 0.8504  3 Mn 2.81
2 Ho 0.1405 0.3278 0.2810  4 Mn 2.89-3.03
3 Mn 0.2362 0.8874 0.4725  2 Mn 2.11
4 Mn 0.7638 0.1126 0.5275  2 Mn 2.11
5 Mg 0.5748 0.7975 0.1496  3 Mn 2.81
6 Ho 0.8595 0.6722 0.7190  4 Mn 2.89-3.03

Record 4
Entry from the Alexandria database: a relaxed Ba2CdSnF crystal (GGA-PBE).

## Properties
N(E_F)   1.69 states/eV/cell
SG   P4/mmm, No. 123
Calculated density   4.4 g cm⁻³
Formation energy (no corrections)   -0.662 eV per atom

a = 6.6502 Å, b = 4.5162 Å, c = 6.6502 Å
α = 90.00°, β = 90.00°, γ = 90.00°
Last column: nearest neighbours and their distance in Å.
Element x y z (fractional)
1 F 0.0000 0.5000 0.0000  2 Cd 2.26
2 Sn 0.5000 0.5000 0.5000  8 Ba 4.02
3 Ba 0.5000 0.0000 0.0000  2 Cd 3.33
4 Ba 0.0000 0.0000 0.5000  2 Cd 3.33
5 Cd 0.0000 0.0000 0.0000  2 F 2.26

Record 5
Entry from the Alexandria database: a relaxed PmGaGe crystal (GGA-PBE).

## Properties
N(E_F)   3.54 states/eV/cell
SG   Fdd2, No. 43
Calculated density   6.9 g cm⁻³
ΔH_f (0 K)   -0.42 eV/atom
Energy above the lowest structure with this stoichiometry   286 meV per atom

a = 5.2528 Å, b = 5.2528 Å, c = 6.1107 Å
α = 106.78°, β = 106.78°, γ = 109.17°
Last column: nearest neighbours and their distance in Å.
Element x y z (fractional)
1 Ga 0.3642 0.6358 0.5000  1 Ge 2.51
2 Pm 0.7213 0.2787 0.5000  5 Ge 2.99-3.30, 5 Ga 3.06-3.28
3 Pm 0.9713 0.0287 0.0000  5 Ge 2.99-3.30, 5 Ga 3.06-3.28
4 Ge 0.0711 0.9289 0.5000  1 Ga 2.51
5 Ge 0.3211 0.6789 0.0000  1 Ga 2.51
6 Ga 0.6142 0.3858 0.0000  1 Ge 2.51

Record 6
Entry from the Alexandria database: a relaxed GaCo2Bi2 crystal (GGA-PBE).

## Properties
N(E_F)   11.39 states/eV/cell
SG   P4/mbm, No. 127
Calculated density   10.6 g cm⁻³
ΔH_f (0 K)   0.31 eV/atom
Energy above the lowest structure with this stoichiometry   0 meV per atom

a = 6.7474 Å, b = 6.7474 Å, c = 4.1814 Å
α = 90.00°, β = 90.00°, γ = 90.00°
Last column: nearest neighbours and their distance in Å.
Element x y z (fractional)
1 Bi 0.3299 0.1701 0.5000  6 Co 2.80-2.94
2 Co 0.3658 0.8658 0.0000  1 Co 2.56, 2 Ga 2.63, 2 Bi 2.80
3 Bi 0.6701 0.8299 0.5000  6 Co 2.80-2.94
4 Ga 0.5000 0.5000 0.0000  4 Co 2.63
5 Co 0.1342 0.3658 0.0000  1 Co 2.56, 2 Ga 2.63, 2 Bi 2.80
6 Bi 0.1701 0.6701 0.5000  6 Co 2.80-2.94
7 Co 0.8658 0.6342 0.0000  1 Co 2.56, 2 Ga 2.63, 2 Bi 2.80
8 Co 0.6342 0.1342 0.0000  1 Co 2.56, 2 Ga 2.63, 2 Bi 2.80
9 Bi 0.8299 0.3299 0.5000  6 Co 2.80-2.94
10 Ga 0.0000 0.0000 0.0000  4 Co 2.63

Record 7
Entry from the Alexandria database: a relaxed Li3TcF crystal (GGA-PBE).

## Properties
N(E_F)   8.09 states/eV/cell
SG   Pm-3m, No. 221
Calculated density   1.7 g cm⁻³
Formation energy (no corrections)   0.606 eV per atom
Energy above the lowest structure with this stoichiometry   981 meV per atom

a = 5.1581 Å, b = 5.1581 Å, c = 5.1581 Å
α = 90.00°, β = 90.00°, γ = 90.00°
Last column: nearest neighbours and their distance in Å.
Element x y z (fractional)
1 F 0.5000 0.5000 0.5000  12 Li 3.65
2 Li 0.0000 0.5000 0.0000  2 Tc 2.58
3 Tc 0.0000 0.0000 0.0000  6 Li 2.58
4 Li 0.5000 0.0000 0.0000  2 Tc 2.58
5 Li 0.0000 0.0000 0.5000  2 Tc 2.58

Record 8
Entry from the Alexandria database: a relaxed LiPmNi2 crystal (GGA-PBE).

## Properties
N(E_F)   2.90 states/eV/cell
SG   Fm-3m, No. 225
Calculated density   6.5 g cm⁻³
ΔH_f (0 K)   -0.04 eV/atom
Energy above the lowest structure with this stoichiometry   95 meV per atom

a = 4.5898 Å, b = 4.5898 Å, c = 4.5898 Å
α = 60.00°, β = 60.00°, γ = 60.00°
Last column: nearest neighbours and their distance in Å.
Element x y z (fractional)
1 Ni 0.7500 0.7500 0.7500  4 Li 2.81, 4 Pm 2.81
2 Li 0.5000 0.5000 0.5000  8 Ni 2.81
3 Pm 0.0000 0.0000 0.0000  8 Ni 2.81
4 Ni 0.2500 0.2500 0.2500  4 Li 2.81, 4 Pm 2.81

Record 9
Entry from the Alexandria database: a relaxed Ca2CrRe crystal (GGA-PBE).

## Properties
N(E_F)   3.29 states/eV/cell
SG   Cmmm, No. 65
Calculated density   7.0 g cm⁻³
ΔH_f (0 K)   1.01 eV/atom
Energy above the lowest structure with this stoichiometry   620 meV per atom

a = 6.1309 Å, b = 5.7209 Å, c = 2.7521 Å
α = 89.97°, β = 63.40°, γ = 115.35°
Last column: nearest neighbours and their distance in Å.
Element x y z (fractional)
1 Cr 0.0000 0.5000 0.5000  2 Re 2.74, 2 Cr 2.75
2 Ca 0.0000 0.0000 0.0000  4 Ca 2.74-2.75
3 Ca 0.5000 0.0000 0.5000  4 Ca 2.74-2.75
4 Re 0.5000 0.5000 0.0000  2 Cr 2.74, 2 Re 2.75

Record 10
Entry from the Alexandria database: a relaxed BaTeIN2 crystal (GGA-PBE).

## Properties
N(E_F)   4.92 states/eV/cell
SG   P4/mmm, No. 123
Calculated density   5.3 g cm⁻³
Formation energy (no corrections)   1.083 eV per atom
Energy above the lowest structure with this stoichiometry   376 meV per atom

a = 4.6904 Å, b = 4.6904 Å, c = 5.9522 Å
α = 90.00°, β = 90.00°, γ = 90.00°
Last column: nearest neighbours and their distance in Å.
Element x y z (fractional)
1 Te 0.0000 0.0000 0.5000  2 I 2.98, 4 Ba 3.32
2 N 0.0000 0.5000 0.0000  2 I 2.35
3 Ba 0.5000 0.5000 0.5000  4 Te 3.32
4 N 0.5000 0.0000 0.0000  2 I 2.35
5 I 0.0000 0.0000 0.0000  4 N 2.35

Record 11
Entry from the Alexandria database: a relaxed Zr2FeIr crystal (GGA-PBE).

## Properties
N(E_F)   4.85 states/eV/cell
SG   Pmma, No. 51
Calculated density   10.4 g cm⁻³
ΔH_f (0 K)   -0.51 eV/atom

a = 3.3005 Å, b = 4.5996 Å, c = 9.0942 Å
α = 90.00°, β = 90.00°, γ = 90.00°
Last column: nearest neighbours and their distance in Å.
Element x y z (fractional)
1 Zr 0.0000 0.2500 0.6333  2 Fe 2.74, 6 Ir 2.83-2.87
2 Zr 0.0000 0.7500 0.8830  6 Fe 2.76-2.83, 2 Ir 2.87
3 Zr 0.0000 0.7500 0.3667  2 Fe 2.74, 6 Ir 2.83-2.87
4 Fe 0.5000 0.2500 0.8736  8 Zr 2.74-2.83
5 Zr 0.0000 0.2500 0.1170  6 Fe 2.76-2.83, 2 Ir 2.87
6 Ir 0.5000 0.7500 0.6249  8 Zr 2.83-2.87
7 Fe 0.5000 0.7500 0.1264  8 Zr 2.74-2.83
8 Ir 0.5000 0.2500 0.3751  8 Zr 2.83-2.87

Record 12
Entry from the Alexandria database: a relaxed SrLaBeN2 crystal (GGA-PBE).

## Properties
N(E_F)   3.87 states/eV/cell
SG   P4/mmm, No. 123
Calculated density   4.5 g cm⁻³
Formation energy (no corrections)   1.098 eV per atom
Energy above the lowest structure with this stoichiometry   1901 meV per atom

a = 4.6149 Å, b = 4.5957 Å, c = 4.6149 Å
α = 90.00°, β = 90.00°, γ = 90.00°
Last column: nearest neighbours and their distance in Å.
Element x y z (fractional)
1 Sr 0.0000 0.0000 0.0000  2 Be 2.30, 4 N 2.31
2 N 0.0000 0.0000 0.5000  2 Sr 2.31
3 La 0.5000 0.5000 0.5000  8 N 3.26, 4 Be 3.26
4 Be 0.0000 0.5000 0.0000  2 Sr 2.30
5 N 0.5000 0.0000 0.0000  2 Sr 2.31

Among the records above, which one has the lowest calculated density? Li3TcF